[1]
A relaxed structure of K2InH6Ir, computed with PBE-GGA.

Lattice parameters (Å, degrees): 6.5219 5.7211 5.7211 120.00 90.00 90.00
Fractional coordinates of all 10 atoms:
H 0.8472 0.1382 0.2765
H 0.1528 0.8618 0.7235
Ir 0.0000 0.0000 0.0000
K 0.8572 0.6667 0.3333
H 0.1528 0.8618 0.1382
H 0.1528 0.2765 0.1382
K 0.1428 0.3333 0.6667
In 0.5000 0.0000 0.0000
H 0.8472 0.1382 0.8618
H 0.8472 0.7235 0.8618

E	-3.573	eV per atom



[2]
A relaxed structure of P2OsWS, computed with PBE-GGA.

Lattice parameters (Å, degrees): 4.7331 4.7331 4.4808 90.00 90.00 90.00
Each line ends with the local moment (μB).
Fractional coordinates of all 5 atoms:
S 0.0000 0.0000 0.5000  0.02
Os 0.5000 0.5000 0.5000  2.40
W 0.0000 0.0000 0.0000  0.21
P 0.5000 0.0000 0.0000  -0.09
P 0.0000 0.5000 0.0000  -0.09

polymorph energy (0 for the lowest one)	2.7	kJ per mole of atoms
formation energy from raw total energies	1396	meV per atom
E	-6.430	eV per atom



[3]
A relaxed structure of YCrCo4, computed with PBE-GGA.

Lattice parameters (Å, degrees): 4.9278 4.9278 4.9278 60.00 60.00 60.00
Each line ends with the local moment (μB).
Fractional coordinates of all 6 atoms:
Co 0.3759 0.3759 0.3759  1.54
Cr 0.7500 0.7500 0.7500  3.16
Co 0.3759 0.3759 0.8722  1.54
Co 0.3759 0.8722 0.3759  1.54
Co 0.8722 0.3759 0.3759  1.54
Y 0.0000 0.0000 0.0000  -0.16

calculated formation energy	46	meV per atom
E	-7.372	eV per atom



[4]
A relaxed structure of Ca2Pa3S8, computed with PBE-GGA.

Lattice parameters (Å, degrees): 6.7686 8.0820 8.0820 60.26 73.17 73.17
Each line ends with the local moment (μB).
Fractional coordinates of all 13 atoms:
Pa 0.0000 0.2557 0.7443  0.87
S 0.9197 0.8883 0.8883  -0.03
S 0.0803 0.1117 0.1117  -0.03
Ca 0.3474 0.7317 0.7317  0.01
Pa 0.0000 0.7443 0.2557  0.87
S 0.4080 0.1088 0.6516  -0.02
Ca 0.6526 0.2683 0.2683  0.01
S 0.5920 0.8912 0.3484  -0.02
S 0.5920 0.3484 0.8912  -0.02
S 0.9230 0.3893 0.3893  -0.03
Pa 0.5000 0.0000 0.0000  0.97
S 0.0770 0.6107 0.6107  -0.03
S 0.4080 0.6516 0.1088  -0.02

formation energy from raw total energies	-1713	meV per atom
E	-6.752	eV per atom



[5]
A relaxed structure of La2CrCl, computed with PBE-GGA.

Lattice parameters (Å, degrees): 3.6354 3.6354 9.8051 90.00 90.00 115.96
Each line ends with the local moment (μB).
Fractional coordinates of all 4 atoms:
La 0.5000 0.5000 0.2804  -0.06
La 0.0000 0.0000 0.9844  -0.06
Cr 0.5000 0.5000 0.7252  -4.03
Cl 0.0000 0.0000 0.5100  -0.01

polymorph energy (0 for the lowest one)	33.3	kJ per mole of atoms
formation energy from raw total energies	-108	meV per atom
E	-5.439	eV per atom



[6]
A relaxed structure of Ac2CeDyS4, computed with PBE-GGA.

Lattice parameters (Å, degrees): 4.0955 7.1350 7.2508 108.98 90.00 90.00
Each line ends with the local moment (μB).
Fractional coordinates of all 8 atoms:
S 0.5000 0.7646 0.7769  0.00
Dy 0.0000 0.0000 0.0000  0.01
Ac 0.0000 0.5000 0.5000  0.01
Ac 0.5000 0.0000 0.5000  0.00
S 0.0000 0.2520 0.7732  -0.01
S 0.0000 0.7480 0.2268  -0.01
S 0.5000 0.2354 0.2231  0.00
Ce 0.5000 0.5000 0.0000  0.67

formation energy from raw total energies	-1994	meV per atom
E	-6.402	eV per atom



[7]
A relaxed structure of RePbAu2, computed with PBE-GGA.

Lattice parameters (Å, degrees): 3.8844 2.8629 7.8537 68.72 90.00 90.00
Each line ends with the local moment (μB).
Fractional coordinates of all 4 atoms:
Au 0.0000 0.0488 0.9523  0.02
Au 0.0000 0.4512 0.5477  0.02
Re 0.5000 0.7500 0.7500  0.59
Pb 0.5000 0.2500 0.2500  -0.01

calculated formation energy	604	meV per atom
E	-5.074	eV per atom



[8]
A relaxed structure of TcHgTe, computed with PBE-GGA.

Lattice parameters (Å, degrees): 7.0814 7.0814 7.0814 153.81 153.81 37.38
Fractional coordinates of all 3 atoms:
Hg 0.9646 0.9646 0.0000
Tc 0.3231 0.3231 0.0000
Te 0.7123 0.7123 0.0000

polymorph energy (0 for the lowest one)	0.1	kJ per mole of atoms
formation energy from raw total energies	230	meV per atom
E	-4.374	eV per atom



[9]
A relaxed structure of KAlFeB2, computed with PBE-GGA.

Lattice parameters (Å, degrees): 4.2407 5.4429 4.2407 90.00 90.00 90.00
Each line ends with the local moment (μB).
Fractional coordinates of all 5 atoms:
K 0.0000 0.5000 0.0000  -0.02
Al 0.0000 0.0000 0.0000  0.01
Fe 0.5000 0.5000 0.5000  3.16
B 0.5000 0.0000 0.0000  -0.05
B 0.0000 0.0000 0.5000  -0.03

calculated formation energy	1921	meV per atom
E	-3.410	eV per atom



[10]
A relaxed structure of CeDy4Rh3, computed with PBE-GGA.

Lattice parameters (Å, degrees): 6.0106 8.3975 8.3975 82.64 69.03 69.03
Each line ends with the local moment (μB).
Fractional coordinates of all 16 atoms:
Ce 0.7500 0.5000 0.5000  0.65
Dy 0.2091 0.7074 0.8744  0.06
Rh 0.2500 0.0000 0.0000  0.01
Dy 0.2909 0.1256 0.2926  0.06
Dy 0.0835 0.1256 0.7074  0.06
Dy 0.5835 0.7074 0.1256  0.06
Rh 0.7500 0.0000 0.0000  0.01
Dy 0.4165 0.2926 0.8744  0.06
Rh 0.6568 0.1864 0.5000  -0.01
Dy 0.9165 0.8744 0.2926  0.06
Rh 0.1568 0.5000 0.1864  -0.01
Rh 0.3432 0.8136 0.5000  -0.01
Dy 0.7909 0.2926 0.1256  0.06
Rh 0.8432 0.5000 0.8136  -0.01
Dy 0.7091 0.8744 0.7074  0.06
Ce 0.2500 0.5000 0.5000  0.65

calculated formation energy	-663	meV per atom
E	-6.463	eV per atom



[11]
A relaxed structure of CaMgNiPb2, computed with PBE-GGA.

Lattice parameters (Å, degrees): 5.1529 5.2283 5.1529 90.00 90.00 90.00
Fractional coordinates of all 5 atoms:
Ni 0.0000 0.0000 0.0000
Ca 0.0000 0.5000 0.0000
Pb 0.0000 0.0000 0.5000
Mg 0.5000 0.5000 0.5000
Pb 0.5000 0.0000 0.0000

calculated formation energy	-15	meV per atom
E	-3.374	eV per atom



[12]
A relaxed structure of AlCr2As, computed with PBE-GGA.

Lattice parameters (Å, degrees): 6.8128 6.8128 5.5369 52.03 52.03 90.00
Each line ends with the local moment (μB).
Fractional coordinates of all 8 atoms:
Cr 0.8750 0.9036 0.7500  2.07
Al 0.2500 0.7500 0.5000  -0.06
Cr 0.0964 0.6250 0.2500  2.09
As 0.7500 0.2500 0.5000  -0.10
Al 0.5000 0.5000 0.0000  -0.06
As 0.0000 0.0000 0.0000  -0.10
Cr 0.3750 0.3464 0.7500  2.07
Cr 0.6536 0.1250 0.2500  2.09

calculated formation energy	424	meV per atom
polymorph energy (0 for the lowest one)	46.2	kJ per mole of atoms
E	-6.486	eV per atom



[13]
A relaxed structure of Ti2VCuSb, computed with PBE-GGA.

Lattice parameters (Å, degrees): 4.4742 4.6994 4.4742 90.00 90.00 90.00
Fractional coordinates of all 5 atoms:
Ti 0.0000 0.0000 0.5000
Cu 0.0000 0.5000 0.0000
Sb 0.5000 0.5000 0.5000
V 0.0000 0.0000 0.0000
Ti 0.5000 0.0000 0.0000

formation energy from raw total energies	631	meV per atom
E	-5.994	eV per atom



[14]
A relaxed structure of ErCuSnCl6, computed with PBE-GGA.

Lattice parameters (Å, degrees): 6.5903 6.5903 12.7454 90.00 90.00 120.00
Each line ends with the local moment (μB).
Fractional coordinates of all 18 atoms:
Sn 0.0000 0.0000 0.5000  0.00
Cu 0.6667 0.3333 0.7500  0.08
Cl 0.6513 0.0087 0.8659  0.00
Cl 0.3574 0.0087 0.6341  0.00
Er 0.6667 0.3333 0.2500  0.00
Cl 0.9913 0.6426 0.8659  0.00
Cl 0.3487 0.9913 0.1341  0.00
Cl 0.3487 0.3574 0.3659  0.00
Cl 0.9913 0.3487 0.6341  0.00
Sn 0.0000 0.0000 0.0000  0.00
Cl 0.3574 0.3487 0.8659  0.00
Cu 0.3333 0.6667 0.2500  0.08
Cl 0.6513 0.6426 0.6341  0.00
Cl 0.0087 0.6513 0.3659  0.00
Cl 0.0087 0.3574 0.1341  0.00
Cl 0.6426 0.6513 0.1341  0.00
Cl 0.6426 0.9913 0.3659  0.00
Er 0.3333 0.6667 0.7500  0.00

formation energy from raw total energies	-1390	meV per atom
E	-4.028	eV per atom



[15]
A relaxed structure of Al2SnPd7, computed with PBE-GGA.

Lattice parameters (Å, degrees): 4.1008 4.1008 10.2263 101.57 101.57 90.00
Fractional coordinates of all 10 atoms:
Pd 0.2500 0.7500 0.5000
Pd 0.6007 0.1007 0.2014
Pd 0.7500 0.2500 0.5000
Pd 0.8993 0.3993 0.7986
Pd 0.5000 0.5000 0.0000
Pd 0.3993 0.8993 0.7986
Al 0.6752 0.6752 0.3504
Sn 0.0000 0.0000 0.0000
Al 0.3248 0.3248 0.6496
Pd 0.1007 0.6007 0.2014

calculated formation energy	-600	meV per atom
polymorph energy (0 for the lowest one)	0.0	kJ per mole of atoms
E	-5.384	eV per atom



[16]
A relaxed structure of La9NdTh2, computed with PBE-GGA.

Lattice parameters (Å, degrees): 5.1951 5.1951 15.6291 90.00 90.00 90.00
Fractional coordinates of all 12 atoms:
Th 0.0000 0.0000 0.6659
La 0.5000 0.5000 0.0000
La 0.5000 0.0000 0.1722
La 0.5000 0.5000 0.6656
La 0.5000 0.5000 0.3344
Nd 0.0000 0.0000 0.0000
La 0.0000 0.5000 0.1722
La 0.0000 0.5000 0.5000
La 0.5000 0.0000 0.5000
Th 0.0000 0.0000 0.3341
La 0.0000 0.5000 0.8278
La 0.5000 0.0000 0.8278

calculated formation energy	29	meV per atom
E	-5.300	eV per atom



[17]
A relaxed structure of CaNdHgAu, computed with PBE-GGA.

Lattice parameters (Å, degrees): 5.2869 5.2869 5.2869 60.00 60.00 60.00
Fractional coordinates of all 4 atoms:
Nd 0.7500 0.7500 0.7500
Hg 0.5000 0.5000 0.5000
Au 0.0000 0.0000 0.0000
Ca 0.2500 0.2500 0.2500

calculated formation energy	-650	meV per atom
E	-3.238	eV per atom



[18]
A relaxed structure of LaPmSnGe, computed with PBE-GGA.

Lattice parameters (Å, degrees): 5.4099 5.4099 5.4099 60.00 60.00 60.00
Fractional coordinates of all 4 atoms:
Ge 0.2500 0.2500 0.2500
Pm 0.0000 0.0000 0.0000
Sn 0.7500 0.7500 0.7500
La 0.5000 0.5000 0.5000

calculated formation energy	-578	meV per atom
E	-5.152	eV per atom



[19]
A relaxed structure of ReSbCl2, computed with PBE-GGA.

Lattice parameters (Å, degrees): 4.6540 4.3538 4.3538 90.00 90.00 90.00
Each line ends with the local moment (μB).
Fractional coordinates of all 4 atoms:
Cl 0.0000 0.5000 0.5000  0.09
Sb 0.5000 0.0000 0.5000  -0.11
Cl 0.0000 0.0000 0.0000  0.09
Re 0.5000 0.5000 0.0000  3.31

polymorph energy (0 for the lowest one)	100.9	kJ per mole of atoms
formation energy from raw total energies	1053	meV per atom
E	-4.013	eV per atom



[20]
A relaxed structure of La2ReSe, computed with PBE-GGA.

Lattice parameters (Å, degrees): 4.3078 4.3078 6.0031 90.00 90.00 90.00
Each line ends with the local moment (μB).
Fractional coordinates of all 4 atoms:
Se 0.5000 0.5000 0.8641  0.00
La 0.0000 0.0000 0.9190  0.04
Re 0.0000 0.0000 0.3534  0.68
La 0.5000 0.5000 0.3635  0.01

formation energy from raw total energies	-493	meV per atom
E	-6.939	eV per atom